Below is a relaxed structure of MgInPt, with properties calculated at the PBE level.

Unit cell a=3.116 b=3.116 c=11.795 alpha=90.00 beta=90.00 gamma=90.00
Space group I4mm (No. 107)
One atom of each set of equivalent atoms:
Mg  0.000  0.000  0.000 (multiplicity 2)
In  0.000  0.000  0.703 (multiplicity 2)
Pt  0.000  0.000  0.363 (multiplicity 2)

## Properties
Total energy ... -3.926 eV per atom
N(E_F) ... 0.299 states/eV/atom
Crystal system ... tetragonal
Energy of formation ... -0.468 eV per atom